! ScNbN2O | the Open Quantum Materials Database | PBE | optimized geometry; values from VASP
&SYSTEM
  ibrav = 0, nat = 30, ntyp = 4
/
ATOMIC_SPECIES
Sc 44.96 Sc.upf
Nb 92.91 Nb.upf
N 14.01 N.upf
O 16.00 O.upf
CELL_PARAMETERS angstrom
6.0365 0.0000 0.0000
-3.0183 5.2278 0.0000
0.0000 0.0000 11.7953
ATOMIC_POSITIONS crystal
Sc 0.0000 0.0000 0.0000
Sc 0.0000 0.0000 0.5000
Sc 0.3333 0.6667 0.4674
Sc 0.3333 0.6667 0.9674
Sc 0.6667 0.3333 0.4674
Sc 0.6667 0.3333 0.9674
Nb 0.0000 0.3323 0.2325
Nb 0.0000 0.6677 0.7325
Nb 0.3323 0.0000 0.2325
Nb 0.3323 0.3323 0.7325
Nb 0.6677 0.0000 0.7325
Nb 0.6677 0.6677 0.2325
N 0.0000 0.3062 0.4016
N 0.0000 0.3714 0.0712
N 0.0000 0.6286 0.5712
N 0.0000 0.6938 0.9016
N 0.3062 0.0000 0.4016
N 0.3062 0.3062 0.9016
N 0.3714 0.0000 0.0712
N 0.3714 0.3714 0.5712
N 0.6286 0.0000 0.5712
N 0.6286 0.6286 0.0712
N 0.6938 0.0000 0.9016
N 0.6938 0.6938 0.4016
O 0.0000 0.0000 0.2037
O 0.0000 0.0000 0.7037
O 0.3333 0.6667 0.2549
O 0.3333 0.6667 0.7549
O 0.6667 0.3333 0.2549
O 0.6667 0.3333 0.7549
! total DFT energy (no corrections): -8.90 eV per atom
! space-group type: P6_3cm (185)

=====

! ZrInW2 | the Open Quantum Materials Database | PBE | optimized geometry; values from VASP
&SYSTEM
  ibrav = 0, nat = 4, ntyp = 3
/
ATOMIC_SPECIES
Zr 91.22 Zr.upf
In 114.82 In.upf
W 183.84 W.upf
CELL_PARAMETERS angstrom
0.0000 3.3334 3.3334
3.3334 0.0000 3.3334
3.3334 3.3334 0.0000
ATOMIC_POSITIONS crystal
Zr 0.0000 0.0000 0.0000
In 0.7500 0.7500 0.7500
W 0.2500 0.2500 0.2500
W 0.5000 0.5000 0.5000
! total DFT energy (no corrections): -8.99 eV per atom
! space-group type: F-43m (216)